# PBE CsKCo, relaxed
# DFT total energy in eV/atom: -1.98
data_CsKCo
_symmetry_space_group_name_H-M 'F -4 3 m'
_symmetry_Int_Tables_number 216
_symmetry_space_group_name_Hall 'F -4 2 3'
_cell_length_a 8.397
_cell_length_b 8.397
_cell_length_c 8.397
_cell_angle_alpha 90.00
_cell_angle_beta 90.00
_cell_angle_gamma 90.00
loop_
_atom_site_label
_atom_site_fract_x
_atom_site_fract_y
_atom_site_fract_z
Cs1 0.000 0.000 0.000
K1 0.000 0.000 0.500
Co1 0.250 0.250 0.250